Below is PmGd2Zr after structural relaxation, with properties calculated at the PBE level.

Cell lengths 3.4462, 3.4462, 10.0903 Å; angles 90.00, 90.00, 90.00 degrees
Last column: nearest neighbours and their distance in Å.
Space group P4/mmm (No. 123)
Symmetry-distinct sites (fractional):
1 Pm 0.0000 0.0000 0.0000 x1  4 Pm 3.45, 8 Gd 3.67
2 Gd 0.5000 0.5000 0.2722 x2  4 Zr 3.35, 4 Gd 3.45, 4 Pm 3.67
3 Zr 0.0000 0.0000 0.5000 x1  8 Gd 3.35, 4 Zr 3.45

Results
Crystal system ... tetragonal
DFT total energy ... -10.286 eV per atom
N(E_F) ... 1.439 states/eV per atom
E above lowest polymorph ... 0.000 eV per atom